[1]
A plane-wave DFT calculation with PBE was carried out for crystalline Sm3TeRuBr at its relaxed geometry.

Unit cell a=8.180 b=4.264 c=9.982 alpha=90.00 beta=110.64 gamma=90.00
Space group P2_1/m (No. 11)
Unique sites:
Sm 0.022 0.250 0.363
Sm 0.179 0.250 0.976
Sm 0.401 0.750 0.595
Te 0.235 0.750 0.225
Ru 0.230 0.250 0.664
Br 0.368 0.750 0.881

## Properties
Magnetic moment   0.000 μB per cell

---

[2]
A plane-wave DFT calculation with PBE was carried out for crystalline SnRuBr2 at its relaxed geometry.

Unit cell a=7.156 b=7.156 c=7.156 alpha=90.00 beta=90.00 gamma=90.00
Space group Fm-3m (No. 225)
Unique sites:
Sn 0.000 0.000 0.000
Ru 0.000 0.000 0.500
Br 0.250 0.250 0.250

## Properties
Magnetic moment   8.473 μB per cell

---

[3]
A plane-wave DFT calculation with PBE was carried out for crystalline Sn3RuBr at its relaxed geometry.

Unit cell a=5.173 b=5.173 c=5.173 alpha=90.00 beta=90.00 gamma=90.00
Space group Pm-3m (No. 221)
Unique sites:
Sn 0.000 0.000 0.500
Ru 0.000 0.000 0.000
Br 0.500 0.500 0.500

## Properties
Magnetic moment   0.000 μB per cell

---

[4]
A plane-wave DFT calculation with PBE was carried out for crystalline SnRuBr2 at its relaxed geometry.

Unit cell a=6.606 b=6.606 c=11.213 alpha=90.00 beta=90.00 gamma=90.00
Space group I-42d (No. 122)
Unique sites:
Sn 0.000 0.000 0.000
Ru 0.000 0.000 0.500
Br 0.174 0.250 0.625

## Properties
Magnetic moment   0.000 μB per cell

---

[5]
A plane-wave DFT calculation with PBE was carried out for crystalline SnRu2Br2 at its relaxed geometry.

Unit cell a=7.848 b=7.848 c=3.204 alpha=90.00 beta=90.00 gamma=90.00
Space group P4/mbm (No. 127)
Unique sites:
Sn 0.000 0.000 0.000
Ru 0.189 0.311 0.000
Br 0.139 0.639 0.500

## Properties
Magnetic moment   0.001 μB per cell

---

[6]
A plane-wave DFT calculation with PBE was carried out for crystalline SnRu2Br2 at its relaxed geometry.

Unit cell a=4.325 b=4.325 c=11.254 alpha=90.00 beta=90.00 gamma=90.00
Space group I4/mmm (No. 139)
Unique sites:
Sn 0.000 0.000 0.000
Ru 0.000 0.000 0.397
Br 0.000 0.500 0.250

## Properties
Magnetic moment   0.000 μB per cell

---

[7]
A plane-wave DFT calculation with PBE was carried out for crystalline Sn3RuBr at its relaxed geometry.

Unit cell a=5.519 b=5.519 c=5.519 alpha=90.00 beta=90.00 gamma=90.00
Space group Pm-3m (No. 221)
Unique sites:
Sn 0.000 0.000 0.500
Ru 0.500 0.500 0.500
Br 0.000 0.000 0.000

## Properties
Magnetic moment   2.731 μB per cell

---

[8]
A plane-wave DFT calculation with PBE was carried out for crystalline SnRuBr2 at its relaxed geometry.

Unit cell a=3.3371 b=3.3371 c=29.7638 alpha=90.00 beta=90.00 gamma=120.00
Space group R-3m (No. 166, hexagonal axes)
Unique sites:
Sn 0.0000 0.0000 0.0000
Ru 0.0000 0.0000 0.5000
Br 0.0000 0.0000 0.4196

## Properties
Magnetic moment   4.041 μB per cell

---

[9]
A plane-wave DFT calculation with PBE was carried out for crystalline TlSn2RuBr at its relaxed geometry.

Unit cell a=5.745 b=5.745 c=4.600 alpha=90.00 beta=90.00 gamma=90.00
Space group P4/mmm (No. 123)
Unique sites:
Tl 0.000 0.000 0.000
Sn 0.000 0.500 0.500
Ru 0.500 0.500 0.000
Br 0.500 0.500 0.500

## Properties
Magnetic moment   0.906 μB per cell

---

[10]
A plane-wave DFT calculation with PBE was carried out for crystalline VSnRuBr2 at its relaxed geometry.

Unit cell a=4.698 b=4.698 c=5.778 alpha=90.00 beta=90.00 gamma=90.00
Space group P4/mmm (No. 123)
Unique sites:
V 0.000 0.000 0.000
Sn 0.000 0.000 0.500
Ru 0.500 0.500 0.500
Br 0.000 0.500 0.000

## Properties
Magnetic moment   2.798 μB per cell

---

[11]
A plane-wave DFT calculation with PBE was carried out for crystalline SnRu2WBr at its relaxed geometry.

Unit cell a=4.850 b=4.850 c=5.143 alpha=90.00 beta=90.00 gamma=90.00
Space group P4/mmm (No. 123)
Unique sites:
Sn 0.000 0.000 0.000
Ru 0.000 0.500 0.000
W 0.500 0.500 0.500
Br 0.000 0.000 0.500

## Properties
Magnetic moment   0.182 μB per cell

---

[12]
A plane-wave DFT calculation with PBE was carried out for crystalline SrRu2Br at its relaxed geometry.

Unit cell a=3.781 b=5.727 c=8.959 alpha=90.00 beta=90.00 gamma=90.00
Space group Imm2 (No. 44)
Unique sites:
Sr 0.000 0.000 0.000
Ru 0.000 0.000 0.512
Ru 0.000 0.500 0.164
Br 0.000 0.500 0.794

## Properties
Magnetic moment   0.000 μB per cell

---

Results for uncorrected formation energy: -0.7922 0.5550 -0.1671 0.5820 0.7726 0.6982 1.3459 0.4256 0.8731 0.8579 2.5222 0.3664 (in eV/atom, following the order of the records).